No. 1
Compound: Ti3PtCl
Source: Alexandria
Functional: PBE
Structure: optimized geometry

Lattice parameters (Å, degrees): 4.9222 4.9222 4.9222 90.00 90.00 90.00
Fractional coordinates of all 5 atoms:
Ti 0.0000 0.0000 0.5000
Ti 0.0000 0.5000 0.0000
Ti 0.5000 0.0000 0.0000
Pt 0.0000 0.0000 0.0000
Cl 0.5000 0.5000 0.5000

Output
The total magnetization is 3.09 μB/f.u. The value obtained for the calculated total energy is -6.05 eV per atom. For the density of states at the Fermi level, the calculation gives 3.6 states/eV/f.u. The value obtained for the calculated density is 5.21 Mg/m³. The value obtained for the formation energy without anion corrections is 0.266 eV/atom. The value obtained for the volume is 119.3 Å³/cell. Its crystal system is cubic.

***

No. 2
Compound: Ti2PtCl4
Source: Alexandria
Functional: PBE
Structure: optimized geometry

Lattice parameters (Å, degrees): 7.6825 7.6825 7.6825 142.18 142.18 54.56
Fractional coordinates of all 7 atoms:
Ti 0.0962 0.0962 0.0000
Ti 0.9038 0.9038 0.0000
Pt 0.5000 0.5000 0.0000
Cl 0.0000 0.5000 0.5000
Cl 0.2643 0.2643 0.0000
Cl 0.5000 0.0000 0.5000
Cl 0.7357 0.7357 0.0000

Output
The total magnetization is 4.44 μB/f.u. The value obtained for the calculated total energy is -4.40 eV per atom. For the density of states at the Fermi level, the calculation gives 4.9 states/eV/f.u. The value obtained for the calculated density is 4.24 Mg/m³. The value obtained for the formation energy without anion corrections is -0.222 eV/atom. The value obtained for the volume is 169.3 Å³/cell. Its crystal system is tetragonal.